Computed, not measured: La4Hg2Br3 after structural relaxation at the PBE level of DFT.

abc: 7.583 4.378 18.730
angles: 90.00 90.13 90.00
Space group C2/m (No. 12)
Inequivalent atoms, fractional coordinates:
La 0.002 0.000 0.308
La 0.166 0.500 0.903
Hg 0.168 0.500 0.204
Br 0.000 0.000 0.000
Br 0.164 0.500 0.596

Results
**Formation energy (no corrections)**: -1.064 eV/atom
**Total DFT energy (no corrections)**: -3.879 eV/atom

=====

Computed, not measured: Er2Ga5Ag3 after structural relaxation at the PBE level of DFT.

abc: 11.153 11.868 5.964
angles: 90.00 90.00 90.00
Space group Ibam (No. 72)
Inequivalent atoms, fractional coordinates:
Er 0.247 0.124 0.000
Ga 0.000 0.000 0.250
Ga 0.000 0.259 0.250
Ga 0.144 0.378 0.000
Ag 0.000 0.500 0.250
Ag 0.135 0.130 0.500

Results
**Total DFT energy (no corrections)**: -3.609 eV/atom

=====

Computed, not measured: SrOs2Cl after structural relaxation at the PBE level of DFT.

abc: 3.004 3.754 8.438
angles: 90.00 90.00 90.00
Space group Pmm2 (No. 25)
Inequivalent atoms, fractional coordinates:
Sr 0.000 0.000 0.000
Os 0.000 0.000 0.614
Os 0.500 0.500 0.713
Cl 0.500 0.500 0.192

Results
**ΔE to the lowest computed polymorph**: 113.5 meV per atom
**Formation energy (no corrections)**: 0.044 eV/atom
**Total DFT energy (no corrections)**: -6.453 eV/atom

=====

Computed, not measured: LiCd3In6 after structural relaxation at the PBE level of DFT.

abc: 9.823 17.325 5.881
angles: 90.00 90.00 90.00
Space group Cmc2_1 (No. 36)
Inequivalent atoms, fractional coordinates:
Li 0.000 0.225 0.000
Cd 0.000 0.387 0.004
Cd 0.152 0.114 0.265
In 0.000 0.065 0.744
In 0.000 0.310 0.538
In 0.173 0.467 0.411
In 0.242 0.202 0.702

Results
**Total DFT energy (no corrections)**: -2.123 eV/atom

=====

Computed, not measured: CuSi2Te after structural relaxation at the PBE level of DFT.

abc: 3.980 6.055 7.997
angles: 90.00 90.00 90.00
Space group Imm2 (No. 44)
Inequivalent atoms, fractional coordinates:
Cu 0.000 0.000 0.000
Si 0.000 0.000 0.680
Si 0.000 0.500 0.344
Te 0.000 0.500 0.701

Results
**Formation energy (no corrections)**: 0.472 eV/atom
**Total DFT energy (no corrections)**: -4.049 eV/atom

=====

Computed, not measured: BeNb3Br after structural relaxation at the PBE level of DFT.

abc: 4.532 4.532 4.532
angles: 90.00 90.00 90.00
Space group Pm-3m (No. 221)
Inequivalent atoms, fractional coordinates:
Be 0.000 0.000 0.000
Nb 0.000 0.000 0.500
Br 0.500 0.500 0.500

Results
**ΔE to the lowest computed polymorph**: 0.0 meV per atom
**Formation energy (no corrections)**: 0.908 eV/atom
**Total DFT energy (no corrections)**: -6.213 eV/atom

=====

Computed, not measured: PmTiAl4 after structural relaxation at the PBE level of DFT.

abc: 7.674 7.674 7.674
angles: 90.00 90.00 90.00
Space group F-43m (No. 216)
Inequivalent atoms, fractional coordinates:
Pm 0.000 0.000 0.000
Ti 0.250 0.250 0.750
Al 0.124 0.124 0.376

Results
**Total DFT energy (no corrections)**: -4.950 eV/atom

=====

Computed, not measured: Fe3Pb after structural relaxation at the PBE level of DFT.

abc: 3.0965 3.0965 7.8719
angles: 90.00 90.00 120.00
Space group P-6m2 (No. 187)
Inequivalent atoms, fractional coordinates:
Fe 0.0000 0.0000 0.0000
Fe 0.3333 0.6667 0.2103
Pb 0.0000 0.0000 0.5000

Results
**Total DFT energy (no corrections)**: -6.685 eV/atom

=====

Computed, not measured: V2CuRu after structural relaxation at the PBE level of DFT.

abc: 3.118 3.118 5.445
angles: 90.00 90.00 90.00
Space group P4/mmm (No. 123)
Inequivalent atoms, fractional coordinates:
V 0.000 0.000 0.240
Cu 0.500 0.500 0.000
Ru 0.500 0.500 0.500

Results
**Total DFT energy (no corrections)**: -7.903 eV/atom

=====

Computed, not measured: LiYAg6 after structural relaxation at the PBE level of DFT.

abc: 8.577 5.637 7.338
angles: 90.00 104.74 90.00
Space group C2/m (No. 12)
Inequivalent atoms, fractional coordinates:
Li 0.000 0.000 0.000
Y 0.000 0.500 0.500
Ag 0.134 0.000 0.433
Ag 0.226 0.240 0.808

Results
**ΔE to the lowest computed polymorph**: 147.2 meV per atom
**Total DFT energy (no corrections)**: -3.207 eV/atom

=====

Computed, not measured: ReNiSn2 after structural relaxation at the PBE level of DFT.

abc: 3.0187 3.0187 28.3527
angles: 90.00 90.00 120.00
Space group R-3m (No. 166, hexagonal axes)
Inequivalent atoms, fractional coordinates:
Re 0.0000 0.0000 0.0000
Ni 0.0000 0.0000 0.5000
Sn 0.0000 0.0000 0.0964

Results
**ΔE to the lowest computed polymorph**: 229.9 meV per atom
**Total DFT energy (no corrections)**: -5.920 eV/atom

=====

Computed, not measured: K2ScP after structural relaxation at the PBE level of DFT.

abc: 4.1822 4.1822 32.4849
angles: 90.00 90.00 120.00
Space group R3m (No. 160, hexagonal axes)
Inequivalent atoms, fractional coordinates:
K 0.0000 0.0000 0.0000
K 0.0000 0.0000 0.2028
Sc 0.0000 0.0000 0.4295
P 0.0000 0.0000 0.7368

Results
**Total DFT energy (no corrections)**: -3.855 eV/atom